Entry 1:
MnIn2Os | PBEsol | relaxed

```
4
Lattice="-3.428 -1.725 1.742 1.047 -3.738 -1.641 3.165 1.929 3.039" Properties=species:S:1:pos:R:3 pbc="T T T"
In -0.727 -1.264 2.416
In 1.511 -2.271 0.724
Mn 0.000 0.000 0.000
Os -1.191 -2.732 0.051
```

Results
DOS at the Fermi energy (states/eV/f.u.): 1.991
Formation energy from the elements (eV per atom): 0.358

Entry 2:
MnIn2Os | PBEsol | relaxed

```
4
Lattice="-3.018 0.150 -0.620 0.861 -0.808 -4.387 0.677 -4.447 3.304" Properties=species:S:1:pos:R:3 pbc="T T T"
In -1.466 -4.941 -1.730
In -1.723 -2.477 0.118
Mn -1.098 -0.562 -2.465
Os 0.249 -2.559 -1.832
```

Results
DOS at the Fermi energy (states/eV/f.u.): 2.393
Formation energy from the elements (eV per atom): 0.368

Entry 3:
Mn2InOs | PBEsol | relaxed

```
4
Lattice="2.808 0.000 0.000 -1.404 4.378 0.019 0.000 -0.960 4.623" Properties=species:S:1:pos:R:3 pbc="T T T"
In 1.404 0.000 0.000
Mn 1.404 1.441 3.209
Mn 0.000 1.977 1.433
Os 0.000 -0.480 2.312
```

Results
DOS at the Fermi energy (states/eV/f.u.): 5.110
Formation energy from the elements (eV per atom): 0.447

Entry 4:
MnInOs2 | PBEsol | relaxed

```
4
Lattice="-2.580 -0.863 -0.545 1.012 -2.355 -1.063 -0.356 -3.199 6.746" Properties=species:S:1:pos:R:3 pbc="T T T"
In -0.784 -1.609 -0.804
Mn -0.962 -3.208 2.569
Os -0.254 -2.287 4.823
Os -0.101 -0.912 1.923
```

Results
DOS at the Fermi energy (states/eV/f.u.): 4.764
Formation energy from the elements (eV per atom): 0.341

Entry 5:
Mn2InOs | PBEsol | relaxed

```
4
Lattice="-1.522 2.203 0.849 -2.216 -1.933 -3.603 -1.642 -2.509 3.567" Properties=species:S:1:pos:R:3 pbc="T T T"
In -2.642 0.089 -0.320
Mn -5.296 -2.176 0.800
Mn -2.682 -2.263 1.064
Os -1.721 -0.280 2.290
```

Results
DOS at the Fermi energy (states/eV/f.u.): 2.972
Formation energy from the elements (eV per atom): 0.322

Entry 6:
MnInOs | PBEsol | relaxed

```
3
Lattice="-2.204 1.242 -1.455 0.966 -2.321 -3.444 -2.754 -1.509 2.884" Properties=species:S:1:pos:R:3 pbc="T T T"
In -2.203 1.242 -1.454
Mn -1.381 -1.426 -2.066
Os -2.613 -1.160 0.049
```

Results
DOS at the Fermi energy (states/eV/f.u.): 2.936
Formation energy from the elements (eV per atom): 0.470

Entry 7:
Mn2InP | PBEsol | relaxed

```
4
Lattice="-1.960 1.389 1.816 1.621 -0.843 2.394 3.301 5.192 -0.407" Properties=species:S:1:pos:R:3 pbc="T T T"
In 2.356 4.246 1.793
Mn 0.134 0.211 -0.017
Mn 0.748 1.718 1.992
P 1.373 2.159 -0.169
```

Results
DOS at the Fermi energy (states/eV/f.u.): 4.214
Formation energy from the elements (eV per atom): 0.031

Entry 8:
MnInP2 | PBEsol | relaxed

```
4
Lattice="-2.273 -0.698 -2.340 -1.219 -3.608 2.260 -3.004 2.395 2.204" Properties=species:S:1:pos:R:3 pbc="T T T"
In -3.248 -0.956 1.062
Mn -1.136 -0.349 -1.170
P -1.502 1.197 1.102
P -0.609 -1.804 1.130
```

Results
DOS at the Fermi energy (states/eV/f.u.): 2.370
Formation energy from the elements (eV per atom): 0.390